No. 1
Compound: MgCr2Te
Source: Alexandria via LeMat-Bulk
Functional: PBE-GGA
Structure: relaxed

The structure in POSCAR format:
```
MgCr2Te
1.0
3.4323 0.0000 0.0000
0.0000 3.1459 0.0000
-1.6512 0.0000 7.4579
Mg Cr Te
1 2 1
direct
0.0000 0.0000 0.0000 Mg
0.3857 0.5000 0.7581 Cr
0.8155 0.0000 0.6098 Cr
0.2054 0.5000 0.3814 Te
```

Results
Density, Mg/m³: 5.28
Symmetry: No. 6
E_form (uncorrected), kcal/mol of atoms: 6.2
Distance to the lowest polymorph of the same formula, meV/atom: 0
M_tot, μB/atom: 0.016

=====

No. 2
Compound: Ac8Ir3AuI4
Source: Alexandria via LeMat-Bulk
Functional: PBE-GGA
Structure: relaxed

The structure in POSCAR format:
```
Ac8Ir3AuI4
1.0
7.7137 -4.4533 0.0000
7.7137 4.4533 0.0000
-5.1491 0.0000 8.6243
Ac Ir Au I
8 3 1 4
direct
0.2148 0.7356 0.6858 Ac
0.2281 0.2281 0.6840 Ac
0.2644 0.2644 0.3142 Ac
0.2644 0.7852 0.3142 Ac
0.7356 0.2148 0.6858 Ac
0.7356 0.7356 0.6858 Ac
0.7719 0.7719 0.3160 Ac
0.7852 0.2644 0.3142 Ac
0.0000 0.0000 0.5000 Ir
0.0000 0.5000 0.5000 Ir
0.5000 0.0000 0.5000 Ir
0.5000 0.5000 0.5000 Au
0.0000 0.0000 0.0000 I
0.0000 0.5000 0.0000 I
0.5000 0.0000 0.0000 I
0.5000 0.5000 0.0000 I
```

Results
Density, Mg/m³: 8.68
Symmetry: No. 12
E_form (uncorrected), kcal/mol of atoms: -24.1
M_tot, μB/atom: 0.000

=====

No. 3
Compound: Li2Ca3Tl5
Source: Alexandria via LeMat-Bulk
Functional: PBE-GGA
Structure: relaxed

The structure in POSCAR format:
```
Li2Ca3Tl5
1.0
11.2555 0.0000 0.0000
0.0000 11.2555 0.0000
0.0000 0.0000 4.1732
Li Ca Tl
4 6 10
direct
0.1172 0.3828 0.0000 Li
0.3828 0.8828 0.0000 Li
0.6172 0.1172 0.0000 Li
0.8828 0.6172 0.0000 Li
0.0000 0.0000 0.0000 Ca
0.1767 0.6767 0.0000 Ca
0.3233 0.1767 0.0000 Ca
0.5000 0.5000 0.0000 Ca
0.6767 0.8233 0.0000 Ca
0.8233 0.3233 0.0000 Ca
0.0000 0.5000 0.5000 Tl
0.0666 0.2138 0.5000 Tl
0.2138 0.9334 0.5000 Tl
0.2862 0.4334 0.5000 Tl
0.4334 0.7138 0.5000 Tl
0.5000 0.0000 0.5000 Tl
0.5666 0.2862 0.5000 Tl
0.7138 0.5666 0.5000 Tl
0.7862 0.0666 0.5000 Tl
0.9334 0.7862 0.5000 Tl
```

Results
Density, Mg/m³: 7.26
E_form, kcal/mol of atoms: -7.21
Symmetry: No. 127
M_tot, μB/atom: 0.000

=====

No. 4
Compound: CaAc4Pm2
Source: Alexandria via LeMat-Bulk
Functional: PBE-GGA
Structure: relaxed

The structure in POSCAR format:
```
CaAc4Pm2
1.0
1.9537 1.1280 22.0208
-1.9537 1.1280 22.0208
0.0000 -2.2559 22.0208
Ca Ac Pm
1 4 2
direct
0.0000 0.0000 0.0000 Ca
0.0986 0.0986 0.0986 Ac
0.3835 0.3835 0.3835 Ac
0.6165 0.6165 0.6165 Ac
0.9014 0.9014 0.9014 Ac
0.1882 0.1882 0.1882 Pm
0.8118 0.8118 0.8118 Pm
```

Results
Density, Mg/m³: 7.06
E_form, kcal/mol of atoms: 0.64
Symmetry: No. 166
M_tot, μB/atom: 0.000

=====

No. 5
Compound: NbSiH
Source: Alexandria via LeMat-Bulk
Functional: PBE-GGA
Structure: relaxed

The structure in POSCAR format:
```
NbSiH
1.0
8.6732 0.0000 0.0000
0.0000 2.8989 0.0000
0.0000 0.0000 5.8969
Nb Si H
4 4 4
direct
0.2257 0.2500 0.1718 Nb
0.2743 0.7500 0.6718 Nb
0.7257 0.2500 0.3282 Nb
0.7743 0.7500 0.8282 Nb
0.0275 0.2500 0.8230 Si
0.4725 0.7500 0.3230 Si
0.5275 0.2500 0.6770 Si
0.9725 0.7500 0.1770 Si
0.1641 0.2500 0.4992 H
0.3359 0.7500 0.9992 H
0.6641 0.2500 0.0008 H
0.8359 0.7500 0.5008 H
```

Results
Density, Mg/m³: 5.47
Symmetry: No. 62
Distance to the lowest polymorph of the same formula, meV/atom: 211
M_tot, μB/atom: 0.000

=====

No. 6
Compound: YCdIr3
Source: Alexandria via LeMat-Bulk
Functional: PBE-GGA
Structure: relaxed

The structure in POSCAR format:
```
YCdIr3
1.0
4.8493 0.0000 0.0000
0.0000 4.8493 0.0000
0.0000 0.0000 4.8493
Y Cd Ir
1 1 3
direct
0.0000 0.0000 0.0000 Y
0.5000 0.5000 0.5000 Cd
0.0000 0.5000 0.5000 Ir
0.5000 0.0000 0.5000 Ir
0.5000 0.5000 0.0000 Ir
```

Results
Density, Mg/m³: 11.33
E_form, kcal/mol of atoms: 29.15
Symmetry: No. 221
Distance to the lowest polymorph of the same formula, meV/atom: 0
M_tot, μB/atom: 0.001

=====

No. 7
Compound: LiYPt2
Source: Alexandria via LeMat-Bulk
Functional: PBE-GGA
Structure: relaxed

The structure in POSCAR format:
```
LiYPt2
1.0
-2.3213 2.3213 7.9773
2.3213 -2.3213 7.9773
2.3213 2.3213 -7.9773
Li Y Pt
2 2 4
direct
0.0000 0.0000 0.0000 Li
0.7500 0.2500 0.5000 Li
0.2500 0.7500 0.5000 Y
0.5000 0.5000 0.0000 Y
0.3750 0.2482 0.3732 Pt
0.7518 0.1250 0.1268 Pt
0.8750 0.0018 0.6268 Pt
0.9982 0.6250 0.8732 Pt
```

Results
Density, Mg/m³: 9.39
E_form, kcal/mol of atoms: -10.93
Symmetry: No. 122
M_tot, μB/atom: 0.000

=====

No. 8
Compound: AcTh
Source: Alexandria via LeMat-Bulk
Functional: PBE-GGA
Structure: relaxed

The structure in POSCAR format:
```
AcTh
1.0
3.7524 0.0000 0.0000
-1.8762 3.2497 0.0000
0.0000 0.0000 12.5098
Ac Th
2 2
direct
0.3333 0.6667 0.1378 Ac
0.6667 0.3333 0.8622 Ac
0.3333 0.6667 0.6141 Th
0.6667 0.3333 0.3859 Th
```

Results
Density, Mg/m³: 9.99
E_form, kcal/mol of atoms: 2.96
Symmetry: No. 164
Distance to the lowest polymorph of the same formula, meV/atom: 0
M_tot, μB/atom: 0.000

=====

No. 9
Compound: AgTeBr2
Source: Alexandria via LeMat-Bulk
Functional: PBE-GGA
Structure: relaxed

The structure in POSCAR format:
```
AgTeBr2
1.0
0.0000 3.6956 3.6956
3.6956 0.0000 3.6956
3.6956 3.6956 0.0000
Ag Te Br
1 1 2
direct
0.0000 0.0000 0.0000 Ag
0.2500 0.2500 0.2500 Te
0.5000 0.5000 0.5000 Br
0.7500 0.7500 0.7500 Br
```

Results
Density, Mg/m³: 6.50
Symmetry: No. 216
E_form (uncorrected), kcal/mol of atoms: 8.4
Distance to the lowest polymorph of the same formula, meV/atom: 529
M_tot, μB/atom: 0.000

=====

No. 10
Compound: Re2PdPtC
Source: Alexandria via LeMat-Bulk
Functional: PBE-GGA
Structure: relaxed

The structure in POSCAR format:
```
Re2PdPtC
1.0
4.7689 0.0000 0.0000
0.0000 4.7689 0.0000
0.0000 0.0000 4.9437
Re Pd Pt C
2 1 1 1
direct
0.0000 0.5000 0.0000 Re
0.5000 0.0000 0.0000 Re
0.0000 0.0000 0.5000 Pd
0.0000 0.0000 0.0000 Pt
0.5000 0.5000 0.5000 C
```

Results
Density, Mg/m³: 10.13
E_form, kcal/mol of atoms: 75.41
Symmetry: No. 123
M_tot, μB/atom: 0.516

=====

No. 11
Compound: CeTh2O
Source: Alexandria via LeMat-Bulk
Functional: PBE-GGA
Structure: relaxed

The structure in POSCAR format:
```
CeTh2O
1.0
1.7002 0.9816 9.8932
-1.7002 0.9816 9.8932
0.0000 -1.9632 9.8932
Ce Th O
1 2 1
direct
0.0000 0.0000 0.0000 Ce
0.1121 0.1121 0.1121 Th
0.8879 0.8879 0.8879 Th
0.5000 0.5000 0.5000 O
```

Results
Density, Mg/m³: 10.40
Symmetry: No. 166
E_form (uncorrected), kcal/mol of atoms: -21.6
M_tot, μB/atom: 0.124

=====

No. 12
Compound: In2Ga2Ge
Source: Alexandria via LeMat-Bulk
Functional: PBE-GGA
Structure: relaxed

The structure in POSCAR format:
```
In2Ga2Ge
1.0
6.9604 0.0000 0.0000
0.0000 6.9604 0.0000
0.0000 0.0000 4.7760
In Ga Ge
4 4 2
direct
0.1786 0.3214 0.0000 In
0.3214 0.8214 0.0000 In
0.6786 0.1786 0.0000 In
0.8214 0.6786 0.0000 In
0.1341 0.6341 0.5000 Ga
0.3659 0.1341 0.5000 Ga
0.6341 0.8659 0.5000 Ga
0.8659 0.3659 0.5000 Ga
0.0000 0.0000 0.5000 Ge
0.5000 0.5000 0.5000 Ge
```

Results
Density, Mg/m³: 6.34
E_form, kcal/mol of atoms: 2.33
Symmetry: No. 127
Distance to the lowest polymorph of the same formula, meV/atom: 0
M_tot, μB/atom: 0.000